Material: NdDy2C
Method: DFT, GGA-PBE
State: relaxed

**Formation enthalpy at 0 K**: -100 meV/atom
**Density of states at the Fermi level**: 13.922 states/eV per cell
**Theoretical density**: 7.5 g cm⁻³
**DFT total energy**: -5.899 eV/atom

a = 3.5397 Å, b = 3.5397 Å, c = 29.5797 Å
α = 90.00°, β = 90.00°, γ = 120.00°
With the nearest neighbours (Å) after each atom.
Space group R-3m (No. 166, hexagonal axes)
One atom of each set of equivalent atoms:
Nd 0.0000 0.0000 0.0000 (multiplicity 3)  6 Nd 3.54, 2 Dy 3.58
Dy 0.0000 0.0000 0.1211 (multiplicity 6)  3 C 2.45
C 0.0000 0.0000 0.5000 (multiplicity 3)  6 Dy 2.45